(1)
8
Lattice="4.357 0.000 0.000 2.179 3.773 0.000 2.179 1.258 7.486" Properties=species:S:1:pos:R:3 comment="PBE ErCuNi4Sn2, relaxed" formation_enthalpy_0k_mev_per_atom=-279 pbc="T T T"
Er 0.000 0.000 0.000
Cu 4.357 2.516 3.743
Ni 4.357 2.516 6.167
Ni 6.536 3.773 2.858
Ni 2.178 1.258 4.627
Ni 4.357 2.516 1.318
Sn 6.536 3.773 5.501
Sn 2.179 1.258 1.985

***

(2)
12
Lattice="-0.234 -2.483 2.921 -2.909 -1.791 -1.756 7.031 -6.531 -4.989" Properties=species:S:1:pos:R:3 comment="PBE Pa2CoNi9, relaxed" formation_enthalpy_0k_mev_per_atom=-215 polymorph_energy_ev_per_atom=0.000 pbc="T T T"
Pa 2.207 -2.050 -1.566
Pa 4.824 -4.481 -3.423
Co 0.000 0.000 0.000
Ni -1.572 -2.137 0.583
Ni 0.731 -4.275 -1.051
Ni 3.157 -6.529 -2.773
Ni 0.928 -2.212 0.719
Ni 3.399 -4.507 -1.034
Ni 5.869 -6.802 -2.787
Ni -0.409 -1.866 -1.619
Ni 2.061 -4.161 -3.372
Ni 4.532 -6.456 -5.125

***

(3)
5
Lattice="-4.646 -1.907 1.712 2.158 -4.824 0.483 1.195 0.968 4.321" Properties=species:S:1:pos:R:3 comment="PBE La2ScInC, relaxed" formation_enthalpy_0k_mev_per_atom=-375 polymorph_energy_ev_per_atom=0.000 pbc="T T T"
Sc 0.598 0.484 2.160
C 0.000 0.000 0.000
In -0.647 -2.881 3.258
La 1.079 -2.412 0.242
La -2.323 -0.953 0.856